Compound: ZrFe2W
Source: the Alexandria database
Functional: GGA-PBE
Structure: relaxed

As for the total magnetization: 3.03 μB per formula unit. As for the space group: No. 166. The uncorrected energy is -9.23 eV per atom.

a b c (Å): 8.5334 8.5334 8.5334
angles (deg): 19.72 19.72 19.72
With the nearest neighbours (Å) after each atom.
Atoms (fractional coordinates):
Fe  0.5065  0.5065  0.5065  3 W 2.56, 3 Zr 2.82
Fe  0.9935  0.9935  0.9935  3 W 2.56, 3 Zr 2.82
Zr  0.7500  0.7500  0.7500  6 Fe 2.82, 6 Zr 2.92
W  0.2500  0.2500  0.2500  6 Fe 2.56